Computed, not measured: a relaxed structure of CrRe2Cl at the PBE-GGA level of DFT.

Lattice parameters (Å, degrees): 4.3719 4.3719 4.3719 60.00 60.00 60.00
Each line ends with the local moment (μB).
Fractional coordinates of all 4 atoms:
Re 0.0000 0.0000 0.0000  -0.23
Re 0.2500 0.2500 0.2500  0.17
Cl 0.5000 0.5000 0.5000  0.05
Cr 0.7500 0.7500 0.7500  1.48

Results
Its energy above the most stable polymorph in this dataset is 832.8 meV per atom. The uncorrected formation energy comes out at 4.39 eV per formula unit.


Computed, not measured: a relaxed structure of ScGa2Pd5 at the PBE-GGA level of DFT.

Lattice parameters (Å, degrees): 6.9342 6.9342 7.2085 118.75 118.75 90.00
Fractional coordinates of all 16 atoms:
Sc 0.7500 0.7500 0.5000
Sc 0.2500 0.2500 0.5000
Ga 0.1494 0.3506 0.0000
Ga 0.6494 0.1494 0.0000
Ga 0.3506 0.8506 0.0000
Ga 0.8506 0.6494 0.0000
Pd 0.4951 0.6975 0.6926
Pd 0.8025 0.0049 0.3074
Pd 0.0000 0.0000 0.0000
Pd 0.5000 0.5000 0.0000
Pd 0.1975 0.9951 0.6926
Pd 0.6975 0.1975 0.6926
Pd 0.9951 0.4951 0.6926
Pd 0.3025 0.8025 0.3074
Pd 0.0049 0.5049 0.3074
Pd 0.5049 0.3025 0.3074

Results
As for the formation energy: -65 kJ per mole of atoms.


Computed, not measured: a relaxed structure of Ga2B3O8 at the PBE-GGA level of DFT.

Lattice parameters (Å, degrees): 6.4849 6.4849 10.7693 90.00 90.00 108.84
Each line ends with the local moment (μB).
Fractional coordinates of all 52 atoms:
Ga 0.7944 0.7944 0.1324  -0.01
Ga 0.2056 0.2056 0.8676  -0.01
Ga 0.7056 0.7056 0.6324  -0.01
Ga 0.2944 0.2944 0.3676  -0.01
Ga 0.3520 0.6480 0.0000  -0.01
Ga 0.8520 0.1480 0.5000  -0.01
Ga 0.6480 0.3520 0.0000  -0.01
Ga 0.1480 0.8520 0.5000  -0.01
B 0.0257 0.2752 0.1322  -0.01
B 0.7248 0.9743 0.8678  -0.01
B 0.2248 0.4743 0.6322  -0.01
B 0.5257 0.7752 0.3678  -0.01
B 0.9743 0.7248 0.8678  -0.01
B 0.2752 0.0257 0.1322  -0.01
B 0.7752 0.5257 0.3678  -0.01
B 0.4743 0.2248 0.6322  -0.01
B 0.1484 0.6484 0.2500  0.00
B 0.3516 0.8516 0.7500  0.00
B 0.8516 0.3516 0.7500  0.00
B 0.6484 0.1484 0.2500  0.00
O 0.2142 0.7579 0.8608  0.02
O 0.2421 0.7859 0.1392  0.02
O 0.7421 0.2858 0.3608  0.02
O 0.7141 0.2579 0.6392  0.02
O 0.7859 0.2421 0.1392  0.02
O 0.7579 0.2142 0.8608  0.02
O 0.2579 0.7141 0.6392  0.02
O 0.2858 0.7421 0.3608  0.02
O 0.1088 0.3668 0.0117  0.20
O 0.6332 0.8912 0.9883  0.20
O 0.1332 0.3912 0.5117  0.20
O 0.6088 0.8668 0.4883  0.20
O 0.8912 0.6332 0.9883  0.20
O 0.3668 0.1088 0.0117  0.20
O 0.8668 0.6088 0.4883  0.20
O 0.3912 0.1332 0.5117  0.20
O 0.0546 0.0546 0.1448  0.05
O 0.9454 0.9454 0.8552  0.05
O 0.4454 0.4454 0.6448  0.05
O 0.5546 0.5546 0.3552  0.05
O 0.1478 0.4202 0.2342  0.02
O 0.5798 0.8522 0.7658  0.02
O 0.0798 0.3522 0.7342  0.02
O 0.6478 0.9202 0.2658  0.02
O 0.8522 0.5798 0.7658  0.02
O 0.4202 0.1478 0.2342  0.02
O 0.9202 0.6478 0.2658  0.02
O 0.3522 0.0798 0.7342  0.02
O 0.5408 0.5408 0.1116  0.36
O 0.4592 0.4592 0.8884  0.36
O 0.9592 0.9592 0.6116  0.36
O 0.0408 0.0408 0.3884  0.36

Results
The uncorrected formation energy comes out at -25.94 eV per formula unit.


Computed, not measured: a relaxed structure of Nd6CS5 at the PBE-GGA level of DFT.

Lattice parameters (Å, degrees): 7.0008 6.9896 6.9819 59.96 80.46 70.67
Fractional coordinates of all 12 atoms:
C 0.0000 0.0000 0.0000
Nd 0.7677 0.0771 0.3090
Nd 0.2323 0.6139 0.3090
Nd 0.2328 0.2309 0.0000
Nd 0.7672 0.7691 0.0000
Nd 0.7677 0.3861 0.6910
Nd 0.2323 0.9229 0.6910
S 0.5000 0.1707 0.6586
S 0.0000 0.3337 0.3326
S 0.5000 0.5000 0.0000
S 0.0000 0.6663 0.6674
S 0.5000 0.8293 0.3414

Results
The uncorrected formation energy comes out at -21.07 eV per formula unit.


Computed, not measured: a relaxed structure of CoBi at the PBE-GGA level of DFT.

Lattice parameters (Å, degrees): 3.9397 8.5669 7.2250 90.00 90.00 90.00
Each line ends with the local moment (μB).
Fractional coordinates of all 12 atoms:
Co 0.5000 0.8569 0.5137  1.37
Co 0.5000 0.1431 0.5137  1.37
Co 0.5000 0.3569 0.0137  1.37
Co 0.5000 0.6431 0.0137  1.37
Co 0.0000 0.0000 0.6107  1.26
Co 0.0000 0.5000 0.1107  1.26
Bi 0.0000 0.3085 0.7412  -0.06
Bi 0.0000 0.6915 0.7412  -0.06
Bi 0.0000 0.8085 0.2412  -0.06
Bi 0.0000 0.1915 0.2412  -0.06
Bi 0.5000 0.0000 0.8815  -0.06
Bi 0.5000 0.5000 0.3815  -0.06

Results
As for the formation energy: 31 kJ per mole of atoms.


Computed, not measured: a relaxed structure of Sr2AgH2 at the PBE-GGA level of DFT.

Lattice parameters (Å, degrees): 7.5554 7.5554 3.5009 90.00 90.00 90.00
Fractional coordinates of all 10 atoms:
Sr 0.1741 0.6741 0.5000
Sr 0.6741 0.8259 0.5000
Sr 0.8259 0.3259 0.5000
Sr 0.3259 0.1741 0.5000
Ag 0.0000 0.0000 0.0000
Ag 0.5000 0.5000 0.0000
H 0.3787 0.8787 0.0000
H 0.8787 0.6213 0.0000
H 0.6213 0.1213 0.0000
H 0.1213 0.3787 0.0000

Results
Its energy above the most stable polymorph in this dataset is 222.5 meV per atom.


Computed, not measured: a relaxed structure of ZrTl2PF at the PBE-GGA level of DFT.

Lattice parameters (Å, degrees): 5.9109 4.8759 5.9109 90.00 90.00 90.00
Fractional coordinates of all 5 atoms:
P 0.0000 0.5000 0.0000
Tl 0.0000 0.0000 0.5000
Tl 0.5000 0.0000 0.0000
Zr 0.0000 0.0000 0.0000
F 0.5000 0.5000 0.5000

Results
The uncorrected formation energy comes out at -0.43 eV per formula unit.


Computed, not measured: a relaxed structure of CsSe2F at the PBE-GGA level of DFT.

Lattice parameters (Å, degrees): 5.5771 5.5771 5.5771 65.16 65.16 65.16
Fractional coordinates of all 4 atoms:
Cs 0.5000 0.5000 0.5000
Se 0.1664 0.1664 0.1664
Se 0.8336 0.8336 0.8336
F 0.0000 0.0000 0.0000

Results
Its energy above the most stable polymorph in this dataset is 725.1 meV per atom. The uncorrected formation energy comes out at -1.56 eV per formula unit.


Computed, not measured: a relaxed structure of K2Rb2Ba at the PBE-GGA level of DFT.

Lattice parameters (Å, degrees): 6.2172 6.2172 11.2935 74.02 74.02 90.00
Fractional coordinates of all 5 atoms:
K 0.4062 0.4062 0.1877
K 0.5938 0.5938 0.8123
Ba 0.0000 0.0000 0.0000
Rb 0.7500 0.2500 0.5000
Rb 0.2500 0.7500 0.5000

Results
As for the formation energy: 17 kJ per mole of atoms. Its energy above the most stable polymorph in this dataset is 62.1 meV per atom.


Computed, not measured: a relaxed structure of Tm3Hf3WN8 at the PBE-GGA level of DFT.

Lattice parameters (Å, degrees): 6.4305 6.4306 6.5658 119.32 90.00 120.00
Fractional coordinates of all 15 atoms:
Tm 0.0000 0.0000 0.0000
Tm 0.0000 0.5000 0.0000
Tm 0.5000 0.5000 0.0000
Hf 0.5000 0.0000 0.5000
Hf 0.5000 0.5000 0.5000
Hf 0.0000 0.5000 0.5000
W 0.0000 0.0000 0.5000
N 0.2556 0.5111 0.2667
N 0.7444 0.4889 0.7333
N 0.7685 0.5369 0.2817
N 0.2315 0.4631 0.7183
N 0.7685 0.0133 0.2818
N 0.2315 0.9867 0.7182
N 0.2449 0.0133 0.2818
N 0.7551 0.9867 0.7182

Results
The uncorrected formation energy comes out at -23.01 eV per formula unit.


Computed, not measured: a relaxed structure of KMgSbI2 at the PBE-GGA level of DFT.

Lattice parameters (Å, degrees): 6.4213 6.4213 6.5667 90.00 90.00 90.00
Each line ends with the local moment (μB).
Fractional coordinates of all 5 atoms:
I 0.0000 0.5000 0.0000  0.05
I 0.5000 0.0000 0.0000  0.05
Sb 0.0000 0.0000 0.5000  0.93
K 0.0000 0.0000 0.0000  0.03
Mg 0.5000 0.5000 0.5000  -0.15

Results
Its energy above the most stable polymorph in this dataset is 800.8 meV per atom. The uncorrected formation energy comes out at 1.32 eV per formula unit.


Computed, not measured: a relaxed structure of Mn6Pd5Rh at the PBE-GGA level of DFT.

Lattice parameters (Å, degrees): 4.3728 7.5999 7.5999 119.30 106.80 106.80
Each line ends with the local moment (μB).
Fractional coordinates of all 12 atoms:
Mn 0.2480 0.0825 0.4133  3.92
Mn 0.7520 0.5867 0.9175  3.92
Mn 0.7456 0.2457 0.2457  3.90
Mn 0.2544 0.7543 0.7543  3.90
Mn 0.2480 0.4133 0.0825  3.92
Mn 0.7520 0.9175 0.5867  3.92
Rh 0.0000 0.0000 0.0000  0.69
Pd 0.5000 0.1674 0.8326  0.37
Pd 0.0000 0.3334 0.6666  0.36
Pd 0.5000 0.5000 0.5000  0.39
Pd 0.0000 0.6666 0.3334  0.36
Pd 0.5000 0.8326 0.1674  0.37

Results
As for the formation energy: -18 kJ per mole of atoms.